Material: La3Ge4Rh2
Method: DFT, GGA-PBE
State: optimized geometry

Cell lengths 4.3428, 6.1809, 8.5333 Å; angles 108.21, 90.00, 110.57 degrees
With the nearest neighbours (Å) after each atom.
Fractional coordinates of all 9 atoms:
La1 0.6147 0.2295 0.6889  7 Ge 3.11-3.30, 3 Rh 3.21, 1 La 3.43
La2 0.0000 0.0000 0.0000  6 Ge 3.17-3.19
La3 0.3853 0.7705 0.3111  7 Ge 3.11-3.30, 3 Rh 3.21, 1 La 3.43
Ge1 0.7138 0.4276 0.0753  1 Rh 2.54, 2 Ge 2.79
Ge2 0.2862 0.5724 0.9247  1 Rh 2.54, 2 Ge 2.79
Ge3 0.8955 0.7910 0.6062  3 Rh 2.47-2.52
Ge4 0.1045 0.2090 0.3938  3 Rh 2.47-2.52
Rh1 0.6973 0.3945 0.3649  4 Ge 2.47-2.54
Rh2 0.3027 0.6055 0.6351  4 Ge 2.47-2.54

## Properties
As for the space-group type: C2/m (12). For the raw total energy, the calculation gives -55.9 eV for the cell shown.


Material: La4GeRh2
Method: DFT, GGA-PBE
State: optimized geometry

Cell lengths 7.7715, 7.7692, 8.0815 Å; angles 108.24, 108.25, 110.41 degrees
With the nearest neighbours (Å) after each atom.
Fractional coordinates of all 14 atoms:
Ge1 0.7577 0.2580 0.5001  6 La 3.03-3.32
Ge2 0.0076 0.0078 0.9999  6 La 3.03-3.32
Rh1 0.2546 0.6208 0.1279  4 La 2.82-3.05
Rh2 0.4920 0.1263 0.8712  4 La 2.81-3.05
Rh3 0.8767 0.7429 0.3721  4 La 2.82-3.05
Rh4 0.3708 0.5051 0.6288  4 La 2.81-3.05
La1 0.1371 0.7493 0.7481  2 Rh 2.83-3.05, 1 Ge 3.05
La2 0.7280 0.4878 0.8604  2 Rh 2.81-2.90, 1 Ge 3.03
La3 0.0028 0.3897 0.2522  2 Rh 2.82-3.05, 1 Ge 3.05
La4 0.6175 0.8774 0.6395  2 Rh 2.81-2.90, 1 Ge 3.03
La5 0.2378 0.9782 0.3601  2 Rh 2.82-2.90, 1 Ge 3.03
La6 0.6277 0.8681 0.1399  2 Rh 2.82-2.90, 1 Ge 3.03
La7 0.1391 0.2512 0.7519  2 Rh 2.83-3.05, 1 Ge 3.05
La8 0.5006 0.3874 0.2478  2 Rh 2.82-3.05, 1 Ge 3.05

## Properties
As for the space-group type: Cc (9). For the raw total energy, the calculation gives -87.6 eV for the cell shown.


Material: LaGe12Rh6
Method: DFT, GGA-PBE
State: optimized geometry

Cell lengths 7.3291, 7.3291, 7.3291 Å; angles 106.01, 106.01, 106.01 degrees
With the nearest neighbours (Å) after each atom.
Fractional coordinates of all 19 atoms:
La1 0.0000 0.0000 0.0000  6 Ge 3.13
Ge1 0.8814 0.1186 0.5000  4 Rh 2.54-2.68, 3 Ge 2.78-2.79
Ge2 0.8622 0.6074 0.6074  3 Rh 2.50-2.67, 2 Ge 2.79
Ge3 0.6074 0.6074 0.8622  3 Rh 2.50-2.67, 2 Ge 2.79
Ge4 0.3926 0.1378 0.3926  3 Rh 2.50-2.67, 2 Ge 2.79
Ge5 0.3926 0.3926 0.1378  3 Rh 2.50-2.67, 2 Ge 2.79
Ge6 0.1378 0.3926 0.3926  3 Rh 2.50-2.67, 2 Ge 2.79
Ge7 0.1186 0.5000 0.8814  4 Rh 2.54-2.68, 3 Ge 2.78-2.79
Ge8 0.5000 0.8814 0.1186  4 Rh 2.54-2.68, 3 Ge 2.78-2.79
Ge9 0.1186 0.8814 0.5000  4 Rh 2.54-2.68, 3 Ge 2.78-2.79
Ge10 0.8814 0.5000 0.1186  4 Rh 2.54-2.68, 3 Ge 2.78-2.79
Ge11 0.5000 0.1186 0.8814  4 Rh 2.54-2.68, 3 Ge 2.78-2.79
Ge12 0.6074 0.8622 0.6074  3 Rh 2.50-2.67, 2 Ge 2.79
Rh1 0.7064 0.2885 0.2885  7 Ge 2.50-2.68
Rh2 0.2885 0.2885 0.7064  7 Ge 2.50-2.68
Rh3 0.2885 0.7064 0.2885  7 Ge 2.50-2.68
Rh4 0.7115 0.7115 0.2936  7 Ge 2.50-2.68
Rh5 0.2936 0.7115 0.7115  7 Ge 2.50-2.68
Rh6 0.7115 0.2936 0.7115  7 Ge 2.50-2.68

## Properties
As for the space-group type: R-3m (166). For the raw total energy, the calculation gives -111.2 eV for the cell shown.


Material: LaGe2Rh
Method: DFT, GGA-PBE
State: optimized geometry

Cell lengths 4.3863, 4.3857, 8.9847 Å; angles 104.10, 90.00, 90.00 degrees
With the nearest neighbours (Å) after each atom.
Fractional coordinates of all 8 atoms:
Ge1 0.2500 0.2489 0.4993  4 Rh 2.51-2.52
Ge2 0.7500 0.7511 0.5007  4 Rh 2.51-2.52
Ge3 0.7500 0.0406 0.0804  1 Rh 2.43, 2 Ge 2.60
Ge4 0.2500 0.9594 0.9196  1 Rh 2.43, 2 Ge 2.60
Rh1 0.7500 0.1805 0.3593  5 Ge 2.43-2.52
Rh2 0.2500 0.8195 0.6407  5 Ge 2.43-2.52
La1 0.2500 0.6090 0.2184  10 Ge 3.29-3.41, 5 Rh 3.33-3.68
La2 0.7500 0.3910 0.7816  10 Ge 3.29-3.41, 5 Rh 3.33-3.68

## Properties
As for the space-group type: P2_1/m (11). For the raw total energy, the calculation gives -50.0 eV for the cell shown.


Material: La2Ge3Rh
Method: DFT, GGA-PBE
State: optimized geometry

Cell lengths 6.0971, 6.0971, 8.5996 Å; angles 110.69, 110.69, 90.19 degrees
With the nearest neighbours (Å) after each atom.
Fractional coordinates of all 12 atoms:
La1 0.2500 0.7500 0.5000  8 Ge 3.27-3.28, 4 Rh 3.30
La2 0.7462 0.7462 0.0000  2 Rh 3.25, 10 Ge 3.27-3.33
La3 0.7500 0.2500 0.5000  8 Ge 3.27-3.28, 4 Rh 3.30
La4 0.2538 0.2538 0.0000  2 Rh 3.25, 10 Ge 3.27-3.33
Ge1 0.3358 0.8329 0.1687  1 Rh 2.47, 2 Ge 2.51
Ge2 0.1671 0.6642 0.8313  1 Rh 2.47, 2 Ge 2.51
Ge3 0.6642 0.1671 0.8313  1 Rh 2.47, 2 Ge 2.51
Ge4 0.8329 0.3358 0.1687  1 Rh 2.47, 2 Ge 2.51
Ge5 0.1685 0.1685 0.3370  1 Rh 2.47, 2 Ge 2.51
Ge6 0.8315 0.8315 0.6630  1 Rh 2.47, 2 Ge 2.51
Rh1 0.6659 0.6659 0.3318  3 Ge 2.47
Rh2 0.3341 0.3341 0.6682  3 Ge 2.47

## Properties
As for the space-group type: Fmmm (69). For the raw total energy, the calculation gives -72.8 eV for the cell shown.


Material: LaGeRh2
Method: DFT, GGA-PBE
State: optimized geometry

Cell lengths 7.2432, 7.2432, 6.0031 Å; angles 52.89, 52.89, 90.00 degrees
With the nearest neighbours (Å) after each atom.
Fractional coordinates of all 8 atoms:
Ge1 0.5000 0.5000 0.0000  4 Rh 2.40
Ge2 0.2500 0.7500 0.5000  4 Rh 2.40
Rh1 0.5629 0.1250 0.2500  2 Ge 2.40
Rh2 0.1871 0.6250 0.2500  2 Ge 2.40
Rh3 0.3750 0.4371 0.7500  2 Ge 2.40
Rh4 0.8750 0.8129 0.7500  2 Ge 2.40
La1 0.0000 0.0000 0.0000  8 Rh 3.00-3.26, 2 Ge 3.13
La2 0.7500 0.2500 0.5000  8 Rh 3.00-3.26, 2 Ge 3.13

## Properties
As for the space-group type: I-42d (122). For the raw total energy, the calculation gives -52.1 eV for the cell shown.


Material: La6Ge2Rh
Method: DFT, GGA-PBE
State: optimized geometry

Cell lengths 4.4024, 8.2338, 8.2338 Å; angles 120.00, 90.00, 90.00 degrees
With the nearest neighbours (Å) after each atom.
Fractional coordinates of all 9 atoms:
La1 0.5000 0.4248 0.4248  4 Ge 3.30, 2 La 3.50, 1 Rh 3.50
La2 0.5000 0.5755 0.0002  4 Ge 3.30, 1 Rh 3.49, 2 La 3.50
La3 0.5000 0.0002 0.5755  4 Ge 3.30, 1 Rh 3.49, 2 La 3.50
La4 0.0000 0.7547 0.7547  2 Rh 2.98, 2 Ge 3.17
La5 0.0000 0.2451 0.0002  2 Rh 2.99, 2 Ge 3.17
La6 0.0000 0.0002 0.2451  2 Rh 2.99, 2 Ge 3.17
Ge1 0.0000 0.6669 0.3334  9 La 3.17-3.30
Ge2 0.0000 0.3334 0.6669  9 La 3.17-3.30
Rh1 0.5000 0.9993 0.9993  6 La 2.98-2.99

## Properties
As for the space-group type: Amm2 (38). For the raw total energy, the calculation gives -51.7 eV for the cell shown.


Material: La4GeRh
Method: DFT, GGA-PBE
State: optimized geometry

Cell lengths 6.2907, 8.0621, 8.4374 Å; angles 112.96, 105.10, 103.60 degrees
With the nearest neighbours (Å) after each atom.
Fractional coordinates of all 12 atoms:
La1 0.0366 0.2198 0.8678  2 Rh 2.82-2.97
La2 0.7679 0.6883 0.6182  2 Ge 3.19-3.23, 2 Rh 3.25-3.32, 1 La 3.39
La3 0.3312 0.6480 0.8678  2 Rh 2.82-2.97
La4 0.3503 0.9299 0.6182  2 Ge 3.19-3.23, 2 Rh 3.25-3.32, 1 La 3.39
La5 0.6497 0.0701 0.3818  2 Ge 3.19-3.23, 2 Rh 3.25-3.32, 1 La 3.39
La6 0.6688 0.3520 0.1322  2 Rh 2.82-2.97
La7 0.2321 0.3117 0.3818  2 Ge 3.19-3.23, 2 Rh 3.25-3.32, 1 La 3.39
La8 0.9634 0.7802 0.1322  2 Rh 2.82-2.97
Ge1 0.3720 0.6220 0.2439  8 La 3.19-3.23
Ge2 0.6280 0.3780 0.7561  8 La 3.19-3.23
Rh1 0.2456 0.9956 0.9913  4 La 2.82-2.97, 2 Rh 3.15
Rh2 0.7544 0.0044 0.0087  4 La 2.82-2.97, 2 Rh 3.15

## Properties
As for the space-group type: C2/c (15). For the raw total energy, the calculation gives -70.2 eV for the cell shown.


Material: LaGe2Rh6
Method: DFT, GGA-PBE
State: optimized geometry

Cell lengths 7.8418, 7.8418, 7.8418 Å; angles 60.00, 60.00, 60.00 degrees
With the nearest neighbours (Å) after each atom.
Fractional coordinates of all 18 atoms:
La1 0.5000 0.5000 0.5000  6 Rh 2.73
La2 0.7500 0.7500 0.7500  6 Rh 2.73
Ge1 0.1250 0.1250 0.1250  6 Rh 2.43
Ge2 0.1250 0.6250 0.1250  6 Rh 2.43
Ge3 0.1250 0.1250 0.6250  6 Rh 2.43
Ge4 0.6250 0.1250 0.1250  6 Rh 2.43
Rh1 0.2542 0.2542 0.7458  2 Ge 2.43
Rh2 0.7458 0.7458 0.2542  2 Ge 2.43
Rh3 0.2542 0.7458 0.2542  2 Ge 2.43
Rh4 0.2542 0.7458 0.7458  2 Ge 2.43
Rh5 0.5042 0.5042 0.9958  2 Ge 2.43
Rh6 0.5042 0.9958 0.9958  2 Ge 2.43
Rh7 0.7458 0.2542 0.7458  2 Ge 2.43
Rh8 0.9958 0.9958 0.5042  2 Ge 2.43
Rh9 0.5042 0.9958 0.5042  2 Ge 2.43
Rh10 0.9958 0.5042 0.5042  2 Ge 2.43
Rh11 0.7458 0.2542 0.2542  2 Ge 2.43
Rh12 0.9958 0.5042 0.9958  2 Ge 2.43

## Properties
As for the space-group type: Fd-3m (227). For the raw total energy, the calculation gives -117.9 eV for the cell shown.


Number 1: D(E_F) 0.534 states/eV/atom. Number 2: D(E_F) 0.812 states/eV/atom. Number 3: D(E_F) 0.548 states/eV/atom. Number 4: D(E_F) 0.519 states/eV/atom. Number 5: D(E_F) 0.288 states/eV/atom. Number 6: D(E_F) 0.764 states/eV/atom. Number 7: D(E_F) 1.246 states/eV/atom. Number 8: D(E_F) 0.900 states/eV/atom. Number 9: D(E_F) 0.953 states/eV/atom.